## CaTeSe2 (PBE-GGA)

Data for a relaxed structure of CaTeSe2.

Results
The calculation puts the total energy at -13.2 eV/cell. For the total magnetization, the calculation gives 0.55 μB per formula unit. The value obtained for the formation energy from raw total energies is -0.2761 eV per atom.

Cell: 5.2711 5.2711 5.2711 Å, 60.00 60.00 60.00°
Sites, in units of the cell vectors:
Ca (0.5000, 0.5000, 0.5000)
Te (0.7500, 0.7500, 0.7500)
Se (0.0000, 0.0000, 0.0000)
Se (0.2500, 0.2500, 0.2500)

## CaTeSe2 (PBE-GGA)

Data for a relaxed structure of CaTeSe2.

Results
The calculation puts the total energy at -15.0 eV/cell. For the total magnetization, the calculation gives 0.00 μB per formula unit. The value obtained for the formation energy from raw total energies is -0.7099 eV per atom.

Cell: 3.7442 5.1078 5.1078 Å, 90.00 90.00 90.00°
Sites, in units of the cell vectors:
Ca (0.5000, 0.0000, 0.5000)
Te (0.5000, 0.5000, 0.0000)
Se (0.0000, 0.0000, 0.0000)
Se (0.0000, 0.5000, 0.5000)

## Ca2TeSe2 (PBE-GGA)

Data for a relaxed structure of Ca2TeSe2.

Results
The calculation puts the total energy at -21.1 eV/cell. For the total magnetization, the calculation gives 0.00 μB per formula unit. Its energy above the most stable polymorph in this dataset is 0.0 meV per atom. The value obtained for the formation energy from raw total energies is -1.3900 eV per atom.

Cell: 5.5826 5.5826 5.9715 Å, 62.13 62.13 90.00°
Sites, in units of the cell vectors:
Ca (0.7500, 0.2500, 0.5000)
Ca (0.2500, 0.7500, 0.5000)
Te (0.0000, 0.0000, 0.0000)
Se (0.3571, 0.3571, 0.2858)
Se (0.6429, 0.6429, 0.7142)

## CaTeSe2 (PBE-GGA)

Data for a relaxed structure of CaTeSe2.

Results
The calculation puts the total energy at -12.8 eV/cell. For the total magnetization, the calculation gives 0.00 μB per formula unit. The value obtained for the formation energy from raw total energies is -0.1762 eV per atom.

Cell: 8.7162 8.7162 8.7162 Å, 29.97 29.97 29.97°
Sites, in units of the cell vectors:
Ca (0.0000, 0.0000, 0.0000)
Te (0.5000, 0.5000, 0.5000)
Se (0.8866, 0.8866, 0.8866)
Se (0.1134, 0.1134, 0.1134)

## CaTeSe2 (PBE-GGA)

Data for a relaxed structure of CaTeSe2.

Results
The calculation puts the total energy at -15.0 eV/cell. For the total magnetization, the calculation gives 0.00 μB per formula unit. The value obtained for the formation energy from raw total energies is -0.7271 eV per atom.

Cell: 9.0437 9.0437 9.0437 Å, 26.33 26.33 26.33°
Sites, in units of the cell vectors:
Ca (0.5000, 0.5000, 0.5000)
Te (0.0000, 0.0000, 0.0000)
Se (0.8988, 0.8988, 0.8988)
Se (0.1012, 0.1012, 0.1012)

## CaTe2Se2 (PBE-GGA)

Data for a relaxed structure of CaTe2Se2.

Results
The calculation puts the total energy at -17.1 eV/cell. For the total magnetization, the calculation gives 0.00 μB per formula unit. Its energy above the most stable polymorph in this dataset is 123.7 meV per atom. The value obtained for the formation energy from raw total energies is -0.3695 eV per atom.

Cell: 5.8465 5.8465 6.4533 Å, 63.06 63.06 90.00°
Sites, in units of the cell vectors:
Ca (0.0000, 0.0000, 0.0000)
Te (0.3000, 0.3000, 0.4001)
Te (0.7000, 0.7000, 0.5999)
Se (0.7500, 0.2500, 0.5000)
Se (0.2500, 0.7500, 0.5000)

## CaTeSe2 (PBE-GGA)

Data for a relaxed structure of CaTeSe2.

Results
The calculation puts the total energy at -15.4 eV/cell. For the total magnetization, the calculation gives 0.00 μB per formula unit. The value obtained for the formation energy from raw total energies is -0.8176 eV per atom.

Cell: 3.8370 4.1873 7.2482 Å, 69.89 90.00 90.00°
Sites, in units of the cell vectors:
Ca (0.5000, 0.7500, 0.7500)
Te (0.5000, 0.2500, 0.2500)
Se (0.0000, 0.1789, 0.9778)
Se (0.0000, 0.3211, 0.5222)

## CaTe4Se (PBE-GGA)

Data for a relaxed structure of CaTe4Se.

Results
The calculation puts the total energy at -18.3 eV/cell. For the total magnetization, the calculation gives 1.30 μB per formula unit. The value obtained for the formation energy from raw total energies is -0.0406 eV per atom.

Cell: 6.3543 6.3543 6.3543 Å, 60.00 60.00 60.00°
Sites, in units of the cell vectors:
Ca (0.7500, 0.7500, 0.7500)
Te (0.8768, 0.3744, 0.3744)
Te (0.3744, 0.3744, 0.8768)
Te (0.3744, 0.8768, 0.3744)
Te (0.3744, 0.3744, 0.3744)
Se (0.0000, 0.0000, 0.0000)

## Ca3TeSe2 (PBE-GGA)

Data for a relaxed structure of Ca3TeSe2.

Results
The calculation puts the total energy at -27.4 eV/cell. For the total magnetization, the calculation gives 0.00 μB per formula unit. The value obtained for the formation energy from raw total energies is -1.8817 eV per atom.

Cell: 4.3064 6.1367 7.4920 Å, 114.18 106.70 90.00°
Sites, in units of the cell vectors:
Ca (0.3221, 0.3221, 0.6443)
Ca (0.0000, 0.0000, 0.0000)
Ca (0.6779, 0.6779, 0.3557)
Te (0.0000, 0.5000, 0.0000)
Se (0.6652, 0.1652, 0.3304)
Se (0.3348, 0.8348, 0.6696)

## CaTeSe2 (PBE-GGA)

Data for a relaxed structure of CaTeSe2.

Results
The calculation puts the total energy at -15.3 eV/cell. For the total magnetization, the calculation gives 0.00 μB per formula unit. The value obtained for the formation energy from raw total energies is -0.8045 eV per atom.

Cell: 5.2579 5.2579 5.2446 Å, 68.95 68.95 106.08°
Sites, in units of the cell vectors:
Ca (0.0000, 0.5000, 0.5000)
Te (0.5000, 0.0000, 0.5000)
Se (0.0000, 0.0000, 0.0000)
Se (0.5000, 0.5000, 0.0000)

## Ca3Te5Se12 (PBE-GGA)

Data for a relaxed structure of Ca3Te5Se12.

Results
The calculation puts the total energy at -288.7 eV/cell. For the total magnetization, the calculation gives 0.00 μB per formula unit. The value obtained for the formation energy from raw total energies is -0.4323 eV per atom.

Cell: 14.8052 14.8052 14.8052 Å, 109.47 109.47 109.47°
Sites, in units of the cell vectors:
Ca (0.7500, 0.3750, 0.1250)
Ca (0.8750, 0.7500, 0.1250)
Ca (0.3750, 0.7500, 0.6250)
Ca (0.2500, 0.1250, 0.3750)
Ca (0.8750, 0.1250, 0.2500)
Ca (0.3750, 0.6250, 0.2500)
Ca (0.6250, 0.3750, 0.7500)
Ca (0.1250, 0.8750, 0.7500)
Ca (0.7500, 0.8750, 0.6250)
Ca (0.6250, 0.2500, 0.3750)
Ca (0.1250, 0.2500, 0.8750)
Ca (0.2500, 0.6250, 0.8750)
Te (0.1250, 0.3750, 0.2500)
Te (0.0000, 0.5000, 0.0000)
Te (0.0000, 0.0000, 0.0000)
Te (0.3750, 0.2500, 0.1250)
Te (0.5000, 0.0000, 0.5000)
Te (0.5000, 0.5000, 0.0000)
Te (0.1250, 0.7500, 0.3750)
Te (0.7500, 0.1250, 0.8750)
Te (0.7500, 0.6250, 0.3750)
Te (0.3750, 0.1250, 0.7500)
Te (0.6250, 0.8750, 0.2500)
Te (0.5000, 0.5000, 0.5000)
Te (0.5000, 0.0000, 0.0000)
Te (0.0000, 0.0000, 0.5000)
Te (0.2500, 0.3750, 0.6250)
Te (0.2500, 0.8750, 0.1250)
Te (0.0000, 0.5000, 0.5000)
Te (0.8750, 0.2500, 0.6250)
Te (0.6250, 0.7500, 0.8750)
Te (0.8750, 0.6250, 0.7500)
Se (0.7176, 0.1404, 0.0523)
Se (0.3347, 0.5523, 0.4119)
Se (0.9477, 0.3596, 0.2824)
Se (0.5523, 0.2176, 0.1404)
Se (0.5773, 0.7176, 0.6653)
Se (0.9477, 0.5881, 0.1653)
Se (0.3347, 0.7824, 0.4227)
Se (0.0881, 0.9227, 0.1404)
Se (0.5881, 0.9477, 0.6653)
Se (0.7176, 0.5773, 0.1653)
Se (0.7824, 0.4477, 0.3596)
Se (0.8347, 0.9119, 0.0523)
Se (0.1404, 0.7176, 0.5523)
Se (0.3596, 0.4119, 0.0773)
Se (0.0773, 0.9119, 0.3596)
Se (0.4227, 0.1404, 0.5881)
Se (0.0773, 0.1653, 0.2176)
Se (0.4477, 0.6653, 0.0881)
Se (0.8347, 0.9227, 0.2824)
Se (0.1404, 0.4227, 0.0881)
Se (0.3596, 0.9477, 0.7824)
Se (0.5881, 0.6404, 0.4227)
Se (0.9119, 0.8347, 0.5523)
Se (0.7824, 0.3347, 0.9227)
Se (0.4119, 0.3596, 0.5773)
Se (0.0881, 0.1653, 0.4477)
Se (0.2176, 0.6653, 0.0773)
Se (0.1653, 0.0773, 0.7176)
Se (0.6404, 0.0523, 0.2176)
Se (0.8596, 0.5773, 0.9119)
Se (0.5523, 0.3347, 0.9119)
Se (0.5773, 0.8596, 0.4119)
Se (0.9227, 0.8347, 0.7824)
Se (0.9227, 0.0881, 0.6404)
Se (0.8596, 0.2824, 0.4477)
Se (0.1653, 0.0881, 0.9477)
Se (0.6404, 0.5881, 0.9227)
Se (0.4119, 0.0523, 0.3347)
Se (0.2824, 0.4227, 0.8347)
Se (0.2176, 0.5523, 0.6404)
Se (0.9119, 0.0773, 0.8596)
Se (0.6653, 0.2176, 0.5773)
Se (0.4477, 0.7824, 0.8596)
Se (0.0523, 0.4119, 0.8347)
Se (0.4227, 0.2824, 0.3347)
Se (0.0523, 0.6404, 0.7176)
Se (0.6653, 0.4477, 0.5881)
Se (0.2824, 0.8596, 0.9477)

## CaTe2Se2 (PBE-GGA)

Data for a relaxed structure of CaTe2Se2.

Results
The calculation puts the total energy at -35.4 eV/cell. For the total magnetization, the calculation gives 0.00 μB per formula unit. Its energy above the most stable polymorph in this dataset is 0.0 meV per atom. The value obtained for the formation energy from raw total energies is -0.4932 eV per atom.

Cell: 7.9134 7.9134 4.5045 Å, 90.00 90.00 90.00°
Sites, in units of the cell vectors:
Ca (0.0000, 0.0000, 0.0000)
Ca (0.5000, 0.5000, 0.0000)
Te (0.1769, 0.6769, 0.5000)
Te (0.6769, 0.8231, 0.5000)
Te (0.8231, 0.3231, 0.5000)
Te (0.3231, 0.1769, 0.5000)
Se (0.3317, 0.8317, 0.0000)
Se (0.8317, 0.6683, 0.0000)
Se (0.6683, 0.1683, 0.0000)
Se (0.1683, 0.3317, 0.0000)

The highest total magnetization belongs to which entry?
CaTe4Se